This record from Alexandria describes crystalline Er3BeO6 at its relaxed geometry. The functional is GGA-PBE.

Calculated density: 8.2 g cm⁻³
D(E_F): 0.315 states/eV/atom
Formation energy without anion corrections: -3162 meV/atom
Symmetry: No. 36

a = 7.0946 Å, b = 7.0946 Å, c = 5.0073 Å
α = 90.00°, β = 90.00°, γ = 101.87°
Closest atoms and distances in Å follow each position.
Sites, in units of the cell vectors:
Er 0.1128 0.8872 0.5000  7 O 2.28-2.31
Er 0.1952 0.4275 0.5546  5 O 2.23-2.27
Er 0.4275 0.1952 0.0546  5 O 2.23-2.27
Er 0.5725 0.8048 0.5546  5 O 2.23-2.27
Er 0.8048 0.5725 0.0546  5 O 2.23-2.27
Er 0.8872 0.1128 0.0000  7 O 2.28-2.31
Be 0.3026 0.6974 0.0908  4 O 1.64-1.76
Be 0.6974 0.3026 0.5908  4 O 1.64-1.76
O 0.0942 0.6121 0.2455  1 Be 1.67
O 0.1462 0.1743 0.2811  4 Er 2.23-2.28
O 0.1743 0.1462 0.7811  4 Er 2.23-2.28
O 0.2845 0.7155 0.7658  1 Be 1.64
O 0.3879 0.9058 0.2455  1 Be 1.67
O 0.4556 0.5444 0.1908  1 Be 1.76
O 0.5444 0.4556 0.6908  1 Be 1.76
O 0.6121 0.0942 0.7455  1 Be 1.67
O 0.7155 0.2845 0.2658  1 Be 1.64
O 0.8257 0.8538 0.2811  4 Er 2.23-2.28
O 0.8538 0.8257 0.7811  4 Er 2.23-2.28
O 0.9058 0.3879 0.7455  1 Be 1.67